[1]
A geometry-optimized Sr3Al3Au2 structure. Source: the Alexandria database, functional PBE.

Results
volume	432.31	Å³/cell
formation energy	-3.907	eV/f.u.

Cell: 6.2338 6.2338 16.4159 Å, 90.00 90.00 137.34°
Positions (direct):
Sr: 0.0523 0.9477 0.6084
Sr: 0.0523 0.9477 0.8916
Sr: 0.3507 0.6493 0.7500
Sr: 0.6493 0.3507 0.2500
Sr: 0.9477 0.0523 0.1084
Sr: 0.9477 0.0523 0.3916
Al: 0.3261 0.6739 0.5358
Al: 0.3261 0.6739 0.9642
Al: 0.3507 0.6493 0.2500
Al: 0.6493 0.3507 0.7500
Al: 0.6739 0.3261 0.0358
Al: 0.6739 0.3261 0.4642
Au: 0.2332 0.7668 0.1107
Au: 0.2332 0.7668 0.3893
Au: 0.7668 0.2332 0.6107
Au: 0.7668 0.2332 0.8893


[2]
A geometry-optimized Ba2InAgIr structure. Source: the Alexandria database, functional PBE.

Results
volume	189.56	Å³/cell
formation energy	-0.781	eV/f.u.

Cell: 6.0519 6.0519 5.1756 Å, 90.00 90.00 90.00°
Positions (direct):
Ba: 0.0000 0.5000 0.0000
Ba: 0.5000 0.0000 0.0000
In: 0.0000 0.0000 0.5000
Ag: 0.5000 0.5000 0.5000
Ir: 0.0000 0.0000 0.0000


[3]
A geometry-optimized CaAl2Ir2 structure. Source: the Alexandria database, functional PBE.

Results
volume	165.54	Å³/cell
formation energy	-3.646	eV/f.u.

Cell: 7.5484 7.5484 2.9053 Å, 90.00 90.00 90.00°
Positions (direct):
Ca: 0.0000 0.0000 0.0000
Ca: 0.5000 0.5000 0.0000
Al: 0.1413 0.3587 0.5000
Al: 0.3587 0.8587 0.5000
Al: 0.6413 0.1413 0.5000
Al: 0.8587 0.6413 0.5000
Ir: 0.1505 0.6505 0.0000
Ir: 0.3495 0.1505 0.0000
Ir: 0.6505 0.8495 0.0000
Ir: 0.8495 0.3495 0.0000


[4]
A geometry-optimized CsHg3Au structure. Source: the Alexandria database, functional PBE.

Results
volume	176.45	Å³/cell
formation energy	-0.801	eV/f.u.

Cell: 4.8996 6.3862 6.3862 Å, 62.01 90.00 90.00°
Positions (direct):
Cs: 0.0000 0.0000 0.0000
Hg: 0.0000 0.6477 0.6477
Hg: 0.5000 0.0240 0.5027
Hg: 0.5000 0.5027 0.0240
Au: 0.5000 0.4979 0.4979


[5]
A geometry-optimized AcCu2AsS4 structure. Source: the Alexandria database, functional PBE.

Results
volume	176.93	Å³/cell
raw formation energy	-5.43	eV per formula unit

Cell: 6.1586 6.1586 6.1586 Å, 116.66 109.98 102.10°
Positions (direct):
Ac: 0.0000 0.0000 0.0000
Cu: 0.3259 0.8259 0.5000
Cu: 0.6741 0.1741 0.5000
As: 0.5000 0.5000 0.0000
S: 0.1200 0.0786 0.5798
S: 0.4988 0.5402 0.4202
S: 0.5012 0.9214 0.0414
S: 0.8800 0.4598 0.9586


[6]
A geometry-optimized MnSbRh2 structure. Source: the Alexandria database, functional PBE.

Results
volume	64.05	Å³/cell
raw formation energy	-0.82	eV per formula unit

Cell: 3.2759 3.2759 5.9685 Å, 90.00 90.00 90.00°
Positions (direct):
Mn: 0.0000 0.0000 0.0000
Sb: 0.0000 0.0000 0.5000
Rh: 0.5000 0.5000 0.2446
Rh: 0.5000 0.5000 0.7554


[7]
A geometry-optimized KRbAlF6 structure. Source: the Alexandria database, functional PBE.

Results
volume	141.78	Å³/cell
raw formation energy	-25.75	eV per formula unit

Cell: 5.8391 5.8391 4.8012 Å, 90.00 90.00 120.00°
Positions (direct):
K: 0.0000 0.0000 0.0000
Rb: 0.6667 0.3333 0.6033
Al: 0.3333 0.6667 0.2973
F: 0.0360 0.5180 0.0830
F: 0.1838 0.3676 0.5097
F: 0.1838 0.8162 0.5097
F: 0.4820 0.5180 0.0830
F: 0.4820 0.9640 0.0830
F: 0.6324 0.8162 0.5097


[8]
A geometry-optimized MoCCl2 structure. Source: the Alexandria database, functional PBE.

Results
volume	55.21	Å³/cell
raw formation energy	6.54	eV per formula unit

Cell: 4.2741 4.2741 4.2741 Å, 60.00 60.00 60.00°
Positions (direct):
Mo: 0.0000 0.0000 0.0000
C: 0.5000 0.5000 0.5000
Cl: 0.2500 0.2500 0.2500
Cl: 0.7500 0.7500 0.7500


[9]
A geometry-optimized Th4Hg3Sb structure. Source: the Alexandria database, functional PBE.

Results
volume	226.68	Å³/cell
raw formation energy	-2.78	eV per formula unit

Cell: 3.9507 3.9507 14.5236 Å, 90.00 90.00 90.00°
Positions (direct):
Th: 0.0000 0.0000 0.1215
Th: 0.0000 0.0000 0.3748
Th: 0.0000 0.0000 0.6252
Th: 0.0000 0.0000 0.8785
Hg: 0.5000 0.5000 0.2534
Hg: 0.5000 0.5000 0.5000
Hg: 0.5000 0.5000 0.7466
Sb: 0.5000 0.5000 0.0000


[10]
A geometry-optimized TlBH6Pd structure. Source: the Alexandria database, functional PBE.

Results
volume	105.11	Å³/cell
final energy	-3.731	eV per atom

Cell: 4.6955 4.8147 5.4865 Å, 71.93 79.56 63.18°
Positions (direct):
Tl: 0.0000 0.0000 0.0000
B: 0.6041 0.5790 0.5617
H: 0.3487 0.3215 0.1839
H: 0.4112 0.8699 0.4335
H: 0.4639 0.5209 0.7643
H: 0.5735 0.4962 0.3640
H: 0.7096 0.9561 0.7351
H: 0.8890 0.4927 0.5678
Pd: 0.5310 0.1438 0.4553


[11]
A geometry-optimized ZnCo4 structure. Source: the Alexandria database, functional PBE.

Results
volume	56.90	Å³/cell
formation energy	0.160	eV/f.u.

Cell: 4.3754 4.3754 4.3754 Å, 99.54 99.54 131.95°
Positions (direct):
Zn: 0.0000 0.0000 0.0000
Co: 0.1974 0.5920 0.7894
Co: 0.4080 0.1974 0.6055
Co: 0.5920 0.8026 0.3945
Co: 0.8026 0.4080 0.2106


[12]
A geometry-optimized PmSmPa structure. Source: the Alexandria database, functional PBE.

Results
volume	181.84	Å³/cell
formation energy	0.928	eV/f.u.

Cell: 5.6347 5.6347 6.6142 Å, 90.00 90.00 120.00°
Positions (direct):
Pm: 0.3333 0.6667 0.2500
Pm: 0.6667 0.3333 0.7500
Sm: 0.3333 0.6667 0.7500
Sm: 0.6667 0.3333 0.2500
Pa: 0.0000 0.0000 0.0000
Pa: 0.0000 0.0000 0.5000


Question: Look up the volume of the eighth one.
Answer: 55.21 Å³/cell